1.
Compound: Dy3Tm3ScTe8
Source: Alexandria
Functional: PBE-GGA
Structure: relaxed

Unit cell a=8.610 b=8.610 c=8.610 alpha=59.97 beta=59.97 gamma=59.97
Positions (direct):
Dy (0.000, 0.500, 0.500)
Dy (0.500, 0.000, 0.500)
Dy (0.500, 0.500, 0.000)
Tm (0.000, 0.000, 0.500)
Tm (0.000, 0.500, 0.000)
Tm (0.500, 0.000, 0.000)
Sc (0.000, 0.000, 0.000)
Te (0.246, 0.751, 0.751)
Te (0.249, 0.249, 0.249)
Te (0.249, 0.249, 0.754)
Te (0.249, 0.754, 0.249)
Te (0.751, 0.246, 0.751)
Te (0.751, 0.751, 0.246)
Te (0.751, 0.751, 0.751)
Te (0.754, 0.249, 0.249)

Results
Raw total energy ... -78.125 eV per cell
Formation energy without anion corrections ... -1296.0 meV per atom
Space-group type ... R-3m (166)


2.
Compound: DyTm3Sc2Te6
Source: Alexandria
Functional: PBE-GGA
Structure: relaxed

Unit cell a=9.542 b=9.542 c=8.561 alpha=102.88 beta=102.88 gamma=25.78
Positions (direct):
Dy (0.000, 0.000, 0.000)
Tm (0.000, 0.000, 0.500)
Tm (0.339, 0.339, 0.170)
Tm (0.661, 0.661, 0.830)
Sc (0.335, 0.335, 0.669)
Sc (0.665, 0.665, 0.331)
Te (0.170, 0.170, 0.091)
Te (0.170, 0.170, 0.578)
Te (0.496, 0.496, 0.745)
Te (0.504, 0.504, 0.255)
Te (0.830, 0.830, 0.422)
Te (0.830, 0.830, 0.909)

Results
Raw total energy ... -63.478 eV per cell
Formation energy without anion corrections ... -1162.4 meV per atom
Space-group type ... C2/m (12)


3.
Compound: DyTm2ScTe6
Source: Alexandria
Functional: PBE-GGA
Structure: relaxed

Unit cell a=8.162 b=8.162 c=8.162 alpha=55.06 beta=55.06 gamma=55.06
Positions (direct):
Dy (0.000, 0.000, 0.000)
Tm (0.315, 0.315, 0.315)
Tm (0.817, 0.817, 0.817)
Sc (0.498, 0.498, 0.498)
Te (0.101, 0.721, 0.409)
Te (0.235, 0.591, 0.896)
Te (0.409, 0.101, 0.721)
Te (0.591, 0.896, 0.235)
Te (0.721, 0.409, 0.101)
Te (0.896, 0.235, 0.591)

Results
Raw total energy ... -51.702 eV per cell
Formation energy without anion corrections ... -1297.6 meV per atom
Space-group type ... R3 (146)


4.
Compound: Dy3Tm2ScTe6
Source: Alexandria
Functional: PBE-GGA
Structure: relaxed

Unit cell a=9.638 b=9.638 c=8.653 alpha=103.30 beta=103.30 gamma=25.72
Positions (direct):
Dy (0.000, 0.000, 0.000)
Dy (0.330, 0.330, 0.664)
Dy (0.670, 0.670, 0.336)
Tm (0.334, 0.334, 0.169)
Tm (0.666, 0.666, 0.831)
Sc (0.000, 0.000, 0.500)
Te (0.162, 0.162, 0.584)
Te (0.168, 0.168, 0.080)
Te (0.500, 0.500, 0.259)
Te (0.500, 0.500, 0.741)
Te (0.832, 0.832, 0.920)
Te (0.838, 0.838, 0.416)

Results
Raw total energy ... -62.462 eV per cell
Formation energy without anion corrections ... -1210.9 meV per atom
Space-group type ... C2/m (12)